Density functional theory data (PBE) for a geometry-optimized LiTiCo2 structure.

Summary:
The value obtained for the total moment is 0.0 μB/f.u. Its total energy is -6.11 eV per atom. The calculated formation energy comes out at -0.10 eV per atom. As for the volume: 11.90 Å³ per atom.

a = 2.9295 Å, b = 2.9295 Å, c = 5.5462 Å
α = 90.00°, β = 90.00°, γ = 90.00°
Fractional positions:
1 Co 0.0000 0.0000 0.7462
2 Co 0.0000 0.0000 0.2538
3 Li 0.5000 0.5000 0.5000
4 Ti 0.5000 0.5000 0.0000

***

Density functional theory data (PBE) for a geometry-optimized SnSbP structure.

Summary:
The value obtained for the total moment is 0.0 μB/f.u. Its total energy is -4.40 eV per atom. As for the energy above the most stable polymorph in this dataset: 0.16 eV per formula unit. Its energy relative to the elements, uncorrected is 0.109 eV/atom. As for the volume: 27.04 Å³ per atom.

a = 4.9730 Å, b = 6.0601 Å, c = 6.8883 Å
α = 93.95°, β = 105.18°, γ = 122.97°
Fractional positions:
1 P 0.1598 0.4944 0.8578
2 P 0.1110 0.8329 0.8992
3 Sb 0.7640 0.2214 0.1930
4 Sb 0.7849 0.7111 0.1639
5 Sn 0.4646 0.6153 0.5797
6 Sn 0.5035 0.1290 0.5403

***

Density functional theory data (PBE) for a geometry-optimized SrGa4CuPt2 structure.

Summary:
The value obtained for the total moment is 0.0 μB/f.u. Its total energy is -4.28 eV per atom. The calculated formation energy comes out at -0.53 eV per atom. As for the volume: 18.73 Å³ per atom.

a = 4.3180 Å, b = 4.3180 Å, c = 9.6070 Å
α = 77.01°, β = 77.01°, γ = 60.00°
Fractional positions:
1 Pt 0.7690 0.7690 0.6929
2 Pt 0.2310 0.2310 0.3071
3 Ga 0.5940 0.5940 0.2181
4 Ga 0.8667 0.8667 0.3999
5 Ga 0.1333 0.1333 0.6001
6 Ga 0.4060 0.4060 0.7819
7 Cu 0.5000 0.5000 0.5000
8 Sr 0.0000 0.0000 0.0000

***

Density functional theory data (PBE) for a geometry-optimized ZrSc5Pt4 structure.

Summary:
The value obtained for the total moment is 0.0 μB/f.u. Its total energy is -7.44 eV per atom. The calculated formation energy comes out at -1.00 eV per atom. As for the volume: 19.04 Å³ per atom.

a = 3.2742 Å, b = 3.2742 Å, c = 17.7565 Å
α = 90.00°, β = 90.00°, γ = 90.00°
Fractional positions:
1 Pt 0.0000 0.0000 0.5953
2 Pt 0.0000 0.0000 0.2173
3 Pt 0.0000 0.0000 0.4047
4 Pt 0.0000 0.0000 0.7827
5 Sc 0.5000 0.5000 0.6899
6 Sc 0.5000 0.5000 0.3101
7 Sc 0.5000 0.5000 0.8764
8 Sc 0.5000 0.5000 0.5000
9 Sc 0.5000 0.5000 0.1236
10 Zr 0.0000 0.0000 0.0000

***

Density functional theory data (PBE) for a geometry-optimized CrFeP2 structure.

Summary:
The value obtained for the total moment is 1.0 μB/f.u. Its total energy is -7.32 eV per atom. As for the energy above the most stable polymorph in this dataset: 1.87 eV per formula unit. The calculated formation energy comes out at -0.09 eV per atom. As for the volume: 11.93 Å³ per atom.

a = 3.4408 Å, b = 2.8142 Å, c = 4.9274 Å
α = 90.00°, β = 90.00°, γ = 90.00°
Site moments in Bohr magnetons follow the coordinates.
Fractional positions:
1 P 0.0000 0.7500 0.4808  -0.02
2 P 0.0000 0.7500 0.0192  -0.02
3 Cr 0.5000 0.2500 0.2500  1.01
4 Fe 0.5000 0.7500 0.7500  0.02

***

Density functional theory data (PBE) for a geometry-optimized CrCoP2 structure.

Summary:
The value obtained for the total moment is 1.9 μB/f.u. Its total energy is -6.90 eV per atom. As for the energy above the most stable polymorph in this dataset: 1.33 eV per formula unit. The calculated formation energy comes out at -0.01 eV per atom. As for the volume: 16.70 Å³ per atom.

a = 5.1152 Å, b = 5.1152 Å, c = 6.2573 Å
α = 65.87°, β = 65.87°, γ = 90.00°
Site moments in Bohr magnetons follow the coordinates.
Fractional positions:
1 P 0.8750 0.8962 0.7500  -0.09
2 P 0.3750 0.3538 0.7500  -0.09
3 P 0.1038 0.6250 0.2500  -0.09
4 P 0.6462 0.1250 0.2500  -0.09
5 Cr 0.5000 0.5000 0.0000  2.00
6 Cr 0.2500 0.7500 0.5000  2.00
7 Co 0.0000 0.0000 0.0000  -0.04
8 Co 0.7500 0.2500 0.5000  -0.03